CePa2Ir: optimized geometry, GGA-PBE.

Computed properties:
Space group: P4/mmm (123)
Electronic total energy in eV per cell: -34.974
Energy relative to the lowest polymorph listed for this composition in eV/atom: 0.000
Spin magnetization in μB per formula unit: 0.00

a b c (Å): 3.5965 3.5965 7.3746
angles (deg): 90.00 90.00 90.00
Closest atoms and distances in Å follow each position.
Fractional positions:
Ce1 0.0000 0.0000 0.0000  8 Pa 3.35, 4 Ce 3.60, 2 Ir 3.69
Pa1 0.5000 0.5000 0.2959  4 Ir 2.96, 1 Pa 3.01
Pa2 0.5000 0.5000 0.7041  4 Ir 2.96, 1 Pa 3.01
Ir1 0.0000 0.0000 0.5000  8 Pa 2.96


CePaIr: optimized geometry, GGA-PBE.

Computed properties:
Space group: P2_1/m (11)
Electronic total energy in eV per cell: -51.720
Energy relative to the lowest polymorph listed for this composition in eV/atom: 0.000
Spin magnetization in μB per formula unit: 0.00

a b c (Å): 4.6714 4.4107 7.0733
angles (deg): 90.00 95.70 90.00
Closest atoms and distances in Å follow each position.
Fractional positions:
Ce1 0.2271 0.2500 0.3612  1 Ir 2.77, 1 Pa 2.92
Ce2 0.7729 0.7500 0.6388  1 Ir 2.77, 1 Pa 2.92
Pa1 0.1968 0.7500 0.9706  3 Ir 2.73-2.83, 1 Ce 2.92, 2 Pa 2.93
Pa2 0.8032 0.2500 0.0294  3 Ir 2.73-2.83, 1 Ce 2.92, 2 Pa 2.93
Ir1 0.3527 0.2500 0.7516  3 Pa 2.73-2.83, 1 Ce 2.77
Ir2 0.6473 0.7500 0.2484  3 Pa 2.73-2.83, 1 Ce 2.77